Entry from Alexandria: a relaxed Fe2SbSeO crystal (GGA+U).

a = 4.5249 Å, b = 4.5249 Å, c = 5.7423 Å
α = 90.00°, β = 90.00°, γ = 90.00°
Closest atoms and distances in Å follow each position.
Space group P4/mmm (No. 123)
Asymmetric unit:
Fe1 0.0000 0.5000 0.0000  2 Se 2.26
Sb1 0.0000 0.0000 0.5000  2 Se 2.87, 4 O 3.20
Se1 0.0000 0.0000 0.0000  4 Fe 2.26
O1 0.5000 0.5000 0.5000  4 Sb 3.20

N(E_F) (states/eV per cell): 1.841
M_tot (μB per formula unit): 5.68
Uncorrected energy (eV per atom): -3.78